w | # GGA-PBE PRuCl2, relaxed
data_PRuCl2
_cell_length_a 8.764
_cell_length_b 8.764
_cell_length_c 8.764
_cell_angle_alpha 152.60
_cell_angle_beta 152.60
_cell_angle_gamma 39.13
_space_group_name_H-M_alt 'P 1'
_space_group_IT_number 1
loop_
_space_group_symop_operation_xyz
'x,y,z'
loop_
_atom_site_label
_atom_site_type_symbol
_atom_site_fract_x
_atom_site_fract_y
_atom_site_fract_z
_atom_site_occupancy
P1 P 0.000 0.000 0.000 1
P2 P 0.750 0.250 0.500 1
Ru1 Ru 0.250 0.750 0.500 1
Ru2 Ru 0.500 0.500 0.000 1
Cl1 Cl 0.139 0.625 0.014 1
Cl2 Cl 0.375 0.389 0.514 1
Cl3 Cl 0.611 0.125 0.986 1
Cl4 Cl 0.875 0.861 0.486 1
# Total moment (Bohr magnetons per cell): 1.41
# Space group: I-42d (122)

x | # GGA-PBE PRuCl2, relaxed
data_PRuCl2
_cell_length_a 4.940
_cell_length_b 4.940
_cell_length_c 2.979
_cell_angle_alpha 90.00
_cell_angle_beta 90.00
_cell_angle_gamma 105.58
_space_group_name_H-M_alt 'P 1'
_space_group_IT_number 1
loop_
_space_group_symop_operation_xyz
'x,y,z'
loop_
_atom_site_label
_atom_site_type_symbol
_atom_site_fract_x
_atom_site_fract_y
_atom_site_fract_z
_atom_site_occupancy
P1 P 0.000 0.000 0.000 1
Ru1 Ru 0.500 0.500 0.000 1
Cl1 Cl 0.000 0.500 0.500 1
Cl2 Cl 0.500 0.000 0.500 1
# Total moment (Bohr magnetons per cell): 2.50
# Space group: Cmmm (65)

Most stable of them? w.

w | # GGA-PBE P2RuCl, relaxed
data_P2RuCl
_cell_length_a 4.004
_cell_length_b 3.611
_cell_length_c 5.520
_cell_angle_alpha 90.00
_cell_angle_beta 95.16
_cell_angle_gamma 90.00
_space_group_name_H-M_alt 'P 1'
_space_group_IT_number 1
loop_
_space_group_symop_operation_xyz
'x,y,z'
loop_
_atom_site_label
_atom_site_type_symbol
_atom_site_fract_x
_atom_site_fract_y
_atom_site_fract_z
_atom_site_occupancy
P1 P 0.000 0.000 0.000 1
P2 P 0.332 0.500 0.952 1
Ru1 Ru 0.514 0.000 0.755 1
Cl1 Cl 0.594 0.500 0.429 1
# Total moment (Bohr magnetons per cell): 0.00
# Space group: Pm (6)

x | # GGA-PBE P2RuCl, relaxed
data_P2RuCl
_cell_length_a 5.798
_cell_length_b 5.798
_cell_length_c 5.798
_cell_angle_alpha 151.66
_cell_angle_beta 135.45
_cell_angle_gamma 53.65
_space_group_name_H-M_alt 'P 1'
_space_group_IT_number 1
loop_
_space_group_symop_operation_xyz
'x,y,z'
loop_
_atom_site_label
_atom_site_type_symbol
_atom_site_fract_x
_atom_site_fract_y
_atom_site_fract_z
_atom_site_occupancy
P1 P 0.195 0.195 0.000 1
P2 P 0.805 0.805 0.000 1
Ru1 Ru 0.000 0.500 0.500 1
Cl1 Cl 0.500 0.000 0.500 1
# Total moment (Bohr magnetons per cell): 0.00
# Space group: Immm (71)

Most stable of them? w.

w | # GGA-PBE PRu2Cl, relaxed
data_PRu2Cl
_cell_length_a 5.015
_cell_length_b 5.015
_cell_length_c 5.015
_cell_angle_alpha 146.72
_cell_angle_beta 113.22
_cell_angle_gamma 76.68
_space_group_name_H-M_alt 'P 1'
_space_group_IT_number 1
loop_
_space_group_symop_operation_xyz
'x,y,z'
loop_
_atom_site_label
_atom_site_type_symbol
_atom_site_fract_x
_atom_site_fract_y
_atom_site_fract_z
_atom_site_occupancy
P1 P 0.000 0.000 0.000 1
Ru1 Ru 0.226 0.726 0.500 1
Ru2 Ru 0.774 0.274 0.500 1
Cl1 Cl 0.500 0.500 0.000 1
# Total moment (Bohr magnetons per cell): 0.00
# Space group: Immm (71)

x | # GGA-PBE PRu2Cl, relaxed
data_PRu2Cl
_cell_length_a 2.982
_cell_length_b 2.982
_cell_length_c 6.897
_cell_angle_alpha 90.00
_cell_angle_beta 90.00
_cell_angle_gamma 103.41
_space_group_name_H-M_alt 'P 1'
_space_group_IT_number 1
loop_
_space_group_symop_operation_xyz
'x,y,z'
loop_
_atom_site_label
_atom_site_type_symbol
_atom_site_fract_x
_atom_site_fract_y
_atom_site_fract_z
_atom_site_occupancy
P1 P 0.000 0.000 0.000 1
Ru1 Ru 0.500 0.500 0.197 1
Ru2 Ru 0.500 0.500 0.803 1
Cl1 Cl 0.000 0.000 0.500 1
# Total moment (Bohr magnetons per cell): 0.00
# Space group: Cmmm (65)

Most stable of them? x.

w | # GGA-PBE PRu2Cl, relaxed
data_PRu2Cl
_cell_length_a 2.868
_cell_length_b 2.868
_cell_length_c 8.224
_cell_angle_alpha 90.00
_cell_angle_beta 90.00
_cell_angle_gamma 90.00
_space_group_name_H-M_alt 'P 1'
_space_group_IT_number 1
loop_
_space_group_symop_operation_xyz
'x,y,z'
loop_
_atom_site_label
_atom_site_type_symbol
_atom_site_fract_x
_atom_site_fract_y
_atom_site_fract_z
_atom_site_occupancy
P1 P 0.000 0.000 0.000 1
Ru1 Ru 0.000 0.000 0.400 1
Ru2 Ru 0.500 0.500 0.173 1
Cl1 Cl 0.500 0.500 0.590 1
# Total moment (Bohr magnetons per cell): 0.00
# Space group: P4mm (99)

x | # GGA-PBE PRu2Cl, relaxed
data_PRu2Cl
_cell_length_a 2.938
_cell_length_b 2.938
_cell_length_c 6.686
_cell_angle_alpha 90.00
_cell_angle_beta 90.00
_cell_angle_gamma 90.00
_space_group_name_H-M_alt 'P 1'
_space_group_IT_number 1
loop_
_space_group_symop_operation_xyz
'x,y,z'
loop_
_atom_site_label
_atom_site_type_symbol
_atom_site_fract_x
_atom_site_fract_y
_atom_site_fract_z
_atom_site_occupancy
P1 P 0.000 0.000 0.000 1
Ru1 Ru 0.500 0.500 0.198 1
Ru2 Ru 0.500 0.500 0.802 1
Cl1 Cl 0.000 0.000 0.500 1
# Total moment (Bohr magnetons per cell): 0.00
# Space group: P4/mmm (123)

Most stable of them? x.

w | # GGA-PBE PRu2Cl, relaxed
data_PRu2Cl
_cell_length_a 2.889
_cell_length_b 2.889
_cell_length_c 9.844
_cell_angle_alpha 90.00
_cell_angle_beta 90.00
_cell_angle_gamma 121.50
_space_group_name_H-M_alt 'P 1'
_space_group_IT_number 1
loop_
_space_group_symop_operation_xyz
'x,y,z'
loop_
_atom_site_label
_atom_site_type_symbol
_atom_site_fract_x
_atom_site_fract_y
_atom_site_fract_z
_atom_site_occupancy
P1 P 0.000 0.000 0.000 1
Ru1 Ru 0.000 0.000 0.423 1
Ru2 Ru 0.500 0.500 0.185 1
Cl1 Cl 0.500 0.500 0.617 1
# Total moment (Bohr magnetons per cell): 0.00
# Space group: Cmm2 (35)

x | # GGA-PBE PRu2Cl, relaxed
data_PRu2Cl
_cell_length_a 4.372
_cell_length_b 4.372
_cell_length_c 4.372
_cell_angle_alpha 60.00
_cell_angle_beta 60.00
_cell_angle_gamma 60.00
_space_group_name_H-M_alt 'P 1'
_space_group_IT_number 1
loop_
_space_group_symop_operation_xyz
'x,y,z'
loop_
_atom_site_label
_atom_site_type_symbol
_atom_site_fract_x
_atom_site_fract_y
_atom_site_fract_z
_atom_site_occupancy
P1 P 0.000 0.000 0.000 1
Ru1 Ru 0.500 0.500 0.500 1
Ru2 Ru 0.750 0.750 0.750 1
Cl1 Cl 0.250 0.250 0.250 1
# Total moment (Bohr magnetons per cell): 0.00
# Space group: F-43m (216)

y | # GGA-PBE PRu2Cl, relaxed
data_PRu2Cl
_cell_length_a 9.704
_cell_length_b 9.704
_cell_length_c 9.704
_cell_angle_alpha 17.23
_cell_angle_beta 17.23
_cell_angle_gamma 17.23
_space_group_name_H-M_alt 'P 1'
_space_group_IT_number 1
loop_
_space_group_symop_operation_xyz
'x,y,z'
loop_
_atom_site_label
_atom_site_type_symbol
_atom_site_fract_x
_atom_site_fract_y
_atom_site_fract_z
_atom_site_occupancy
P1 P 0.000 0.000 0.000 1
Ru1 Ru 0.275 0.275 0.275 1
Ru2 Ru 0.531 0.531 0.531 1
Cl1 Cl 0.801 0.801 0.801 1
# Total moment (Bohr magnetons per cell): 0.54
# Space group: R3m (160)

z | # GGA-PBE PRu2Cl, relaxed
data_PRu2Cl
_cell_length_a 2.845
_cell_length_b 3.892
_cell_length_c 5.456
_cell_angle_alpha 90.00
_cell_angle_beta 90.00
_cell_angle_gamma 90.00
_space_group_name_H-M_alt 'P 1'
_space_group_IT_number 1
loop_
_space_group_symop_operation_xyz
'x,y,z'
loop_
_atom_site_label
_atom_site_type_symbol
_atom_site_fract_x
_atom_site_fract_y
_atom_site_fract_z
_atom_site_occupancy
P1 P 0.000 0.000 0.000 1
Ru1 Ru 0.000 0.500 0.500 1
Ru2 Ru 0.500 0.500 0.000 1
Cl1 Cl 0.500 0.000 0.500 1
# Total moment (Bohr magnetons per cell): 0.00
# Space group: Pmmm (47)

Most stable of them? y.

w | # GGA-PBE PRu2Cl, relaxed
data_PRu2Cl
_cell_length_a 4.262
_cell_length_b 4.262
_cell_length_c 4.262
_cell_angle_alpha 60.00
_cell_angle_beta 60.00
_cell_angle_gamma 60.00
_space_group_name_H-M_alt 'P 1'
_space_group_IT_number 1
loop_
_space_group_symop_operation_xyz
'x,y,z'
loop_
_atom_site_label
_atom_site_type_symbol
_atom_site_fract_x
_atom_site_fract_y
_atom_site_fract_z
_atom_site_occupancy
P1 P 0.000 0.000 0.000 1
Ru1 Ru 0.250 0.250 0.250 1
Ru2 Ru 0.750 0.750 0.750 1
Cl1 Cl 0.500 0.500 0.500 1
# Total moment (Bohr magnetons per cell): 0.00
# Space group: Fm-3m (225)

x | # GGA-PBE PRu2Cl, relaxed
data_PRu2Cl
_cell_length_a 2.853
_cell_length_b 3.603
_cell_length_c 7.108
_cell_angle_alpha 90.00
_cell_angle_beta 90.00
_cell_angle_gamma 90.00
_space_group_name_H-M_alt 'P 1'
_space_group_IT_number 1
loop_
_space_group_symop_operation_xyz
'x,y,z'
loop_
_atom_site_label
_atom_site_type_symbol
_atom_site_fract_x
_atom_site_fract_y
_atom_site_fract_z
_atom_site_occupancy
P1 P 0.000 0.000 0.000 1
Ru1 Ru 0.000 0.000 0.319 1
Ru2 Ru 0.500 0.500 0.083 1
Cl1 Cl 0.500 0.500 0.518 1
# Total moment (Bohr magnetons per cell): 0.00
# Space group: Pmm2 (25)

Most stable of them? x.